An optimized crystal structure of TbAsAuO. Source: OQMD via LeMat-Bulk, functional GGA-PBE.

Structure (POSCAR):
```
TbAsAuO
1.0
-3.782 0.529 0.217
-0.891 -7.263 2.198
0.573 1.700 5.849
As Au O Tb
2 2 2 2
Cartesian
-0.060 -1.754 3.237 As
-0.057 -3.213 6.860 As
-1.751 0.052 3.070 Au
-2.113 -4.387 7.595 Au
-2.383 -5.090 4.606 O
-1.485 0.744 6.022 O
-0.405 -4.551 4.058 Tb
0.283 -0.430 5.993 Tb
```

Output
Crystal system: orthorhombic
SG: Pmc2_1 (26)
VASP energy in eV per atom: -5.615

***

An optimized crystal structure of LiReNO. Source: OQMD via LeMat-Bulk, functional GGA-PBE.

Structure (POSCAR):
```
LiReNO
1.0
-0.213 2.819 0.318
5.197 0.221 1.528
1.604 0.748 -5.562
Li N O Re
2 2 2 2
Cartesian
0.204 1.526 -0.669 Li
3.917 2.157 -3.773 Li
5.028 0.456 -0.672 N
2.890 0.560 -3.033 N
2.051 1.600 -0.082 O
5.788 2.241 -3.267 O
3.243 0.382 -1.215 Re
1.096 0.482 -3.543 Re
```

Output
Crystal system: orthorhombic
SG: Pmc2_1 (26)
VASP energy in eV per atom: -7.621

***

An optimized crystal structure of K2NaMoCl6. Source: OQMD via LeMat-Bulk, functional GGA-PBE.

Structure (POSCAR):
```
K2NaMoCl6
1.0
-2.878 -5.439 3.814
-5.869 1.148 4.080
-6.375 -2.816 -1.956
Cl K Mo Na
6 2 1 1
Cartesian
-5.115 -4.538 3.410 Cl
-6.677 -1.098 3.549 Cl
-8.180 -3.938 5.541 Cl
-6.942 -3.168 0.396 Cl
-8.445 -6.009 2.388 Cl
-10.007 -2.569 2.527 Cl
-3.780 -1.777 1.484 K
-11.341 -5.330 4.453 K
0.000 0.000 0.000 Mo
-7.561 -3.553 2.968 Na
```

Output
Crystal system: cubic
SG: Fm-3m (225)
VASP energy in eV per atom: -4.025

***

An optimized crystal structure of KLiTePd. Source: OQMD via LeMat-Bulk, functional GGA-PBE.

Structure (POSCAR):
```
KLiTePd
1.0
0.000 3.551 3.551
3.551 0.000 3.551
3.551 3.551 0.000
K Li Pd Te
1 1 1 1
Cartesian
0.000 0.000 0.000 K
5.327 5.327 5.327 Li
3.551 3.551 3.551 Pd
1.776 1.776 1.776 Te
```

Output
Crystal system: cubic
SG: F-43m (216)
VASP energy in eV per atom: -3.206

***

An optimized crystal structure of NdAg2Sn2. Source: OQMD via LeMat-Bulk, functional GGA-PBE.

Structure (POSCAR):
```
NdAg2Sn2
1.0
4.541 0.000 0.000
0.000 4.541 0.000
0.000 0.000 11.794
Ag Nd Sn
4 2 4
Cartesian
0.000 0.000 0.000 Ag
2.270 2.270 0.000 Ag
2.270 0.000 4.226 Ag
0.000 2.270 7.568 Ag
0.000 2.270 2.833 Nd
2.270 0.000 8.961 Nd
2.270 0.000 1.597 Sn
0.000 0.000 5.897 Sn
2.270 2.270 5.897 Sn
0.000 2.270 10.197 Sn
```

Output
Crystal system: tetragonal
SG: P4/nmm (129)
VASP energy in eV per atom: -4.041

***

An optimized crystal structure of Zr2Si3Au2. Source: OQMD via LeMat-Bulk, functional GGA-PBE.

Structure (POSCAR):
```
Zr2Si3Au2
1.0
-6.910 3.929 3.929
-3.929 3.929 6.910
-3.929 6.910 3.929
Au Si Zr
2 3 2
Cartesian
-0.008 0.008 0.008 Au
-7.371 7.371 7.371 Au
-5.676 5.676 5.676 Si
-9.369 9.369 9.369 Si
-12.650 12.650 12.650 Si
-3.644 3.644 3.644 Zr
-11.124 11.124 11.124 Zr
```

Output
Crystal system: trigonal
SG: R3m (160)
VASP energy in eV per atom: -5.946

***

An optimized crystal structure of ThMgB. Source: OQMD via LeMat-Bulk, functional GGA-PBE.

Structure (POSCAR):
```
ThMgB
1.0
0.000 3.145 3.145
3.145 0.000 3.145
3.145 3.145 0.000
B Mg Th
1 1 1
Cartesian
0.000 0.000 0.000 B
1.573 1.573 1.573 Mg
4.718 4.718 4.718 Th
```

Output
Crystal system: cubic
SG: F-43m (216)
VASP energy in eV per atom: -5.119

***

An optimized crystal structure of LiSmPt. Source: OQMD via LeMat-Bulk, functional GGA-PBE.

Structure (POSCAR):
```
LiSmPt
1.0
-4.442 -1.213 -0.915
-3.518 2.006 2.375
-2.863 3.030 -2.160
Li Pt Sm
1 1 1
Cartesian
-2.706 0.956 -0.175 Li
-8.117 2.868 -0.524 Pt
0.000 0.000 0.000 Sm
```

Output
Crystal system: cubic
SG: F-43m (216)
VASP energy in eV per atom: -4.476

***

An optimized crystal structure of GdB7PbO13. Source: OQMD via LeMat-Bulk, functional GGA-PBE.

Structure (POSCAR):
```
GdB7PbO13
1.0
-3.386 6.073 3.405
-6.240 0.202 -6.566
-6.092 -10.416 5.468
B Gd O Pb
28 4 52 4
Cartesian
-5.058 3.583 -1.276 B
-1.806 0.494 -1.328 B
-2.422 0.401 2.189 B
-8.648 3.583 -0.878 B
-3.828 -0.953 -0.886 B
-5.684 2.099 0.665 B
-3.019 -1.905 2.797 B
-9.379 1.281 -0.405 B
-7.112 -2.797 -2.690 B
-4.135 0.085 3.925 B
-7.253 0.183 0.696 B
-6.108 -1.869 -0.449 B
-4.035 -2.917 0.611 B
-6.291 1.106 2.874 B
-9.439 -5.246 -0.581 B
-11.690 -1.224 1.687 B
-12.674 -2.172 -0.470 B
-11.535 -4.224 -1.621 B
-8.470 -4.326 1.657 B
-8.590 -1.344 5.011 B
-6.319 -5.423 2.732 B
-9.592 -2.337 2.778 B
-11.706 -6.185 -0.119 B
-13.255 -3.144 1.755 B
-6.899 -7.729 3.363 B
-10.300 -4.639 3.269 B
-13.845 -4.637 3.704 B
-13.721 -7.624 0.360 B
-9.353 -1.954 -0.522 Gd
-9.281 -4.998 -3.835 Gd
-9.554 0.958 2.860 Gd
-6.337 -2.188 2.856 Gd
-4.451 0.577 -4.145 O
-2.394 3.485 1.519 O
-7.849 4.394 -1.646 O
-1.544 1.208 1.505 O
-5.190 3.211 0.058 O
-3.157 0.168 -1.272 O
-2.263 -0.938 2.024 O
-6.206 -1.949 -3.455 O
-8.546 2.243 -1.105 O
-3.303 0.933 3.082 O
-5.169 -0.992 -1.167 O
-6.381 1.137 0.004 O
-3.252 -1.976 -0.202 O
-5.494 1.998 2.018 O
-7.271 -1.085 -0.028 O
-8.462 -2.226 -2.632 O
-9.812 0.179 -1.277 O
-5.495 0.647 4.019 O
-3.436 -3.044 1.953 O
-6.633 -2.961 -1.285 O
-8.654 0.659 0.746 O
-7.462 1.818 3.410 O
-10.590 1.924 0.142 O
-5.439 -2.459 0.727 O
-4.238 -1.300 3.401 O
-6.800 -0.038 2.091 O
-10.159 -4.062 -1.091 O
-8.945 -2.923 1.573 O
-11.516 -1.642 0.276 O
-5.731 -6.045 1.529 O
-8.866 -5.939 -1.746 O
-5.188 -4.861 3.533 O
-7.208 -1.241 5.566 O
-10.378 -1.158 2.356 O
-8.323 -4.849 0.286 O
-7.133 -4.280 2.291 O
-8.481 -1.875 3.648 O
-5.978 -3.136 4.931 O
-10.362 -6.135 0.143 O
-12.571 -2.161 2.397 O
-12.300 -5.182 -0.817 O
-13.466 -3.054 0.403 O
-9.380 -5.172 2.417 O
-7.090 -6.386 3.497 O
-9.427 -2.194 5.850 O
-10.432 -3.301 3.463 O
-13.710 -4.271 2.369 O
-12.371 -7.292 0.308 O
-11.053 -5.450 4.085 O
-7.732 -8.539 4.095 O
-11.066 -7.699 3.164 O
-10.284 -4.749 7.486 O
-6.226 0.752 -2.549 Pb
-4.095 3.643 3.200 Pb
-9.305 -7.859 1.546 Pb
-8.605 -4.922 5.788 Pb
```

Output
Crystal system: monoclinic
SG: P2_1 (4)
VASP energy in eV per atom: -7.930

***

An optimized crystal structure of LiCdPd. Source: OQMD via LeMat-Bulk, functional GGA-PBE.

Structure (POSCAR):
```
LiCdPd
1.0
0.000 3.107 3.107
3.107 0.000 3.107
3.107 3.107 0.000
Cd Li Pd
1 1 1
Cartesian
1.554 1.554 1.554 Cd
4.661 4.661 4.661 Li
0.000 0.000 0.000 Pd
```

Output
Crystal system: cubic
SG: F-43m (216)
VASP energy in eV per atom: -2.890

***

An optimized crystal structure of CsUAu. Source: OQMD via LeMat-Bulk, functional GGA-PBE.

Structure (POSCAR):
```
CsUAu
1.0
-2.969 3.765 -1.848
-1.497 3.835 3.075
1.936 4.716 -0.646
Au Cs U
1 1 1
Cartesian
-1.897 9.238 0.436 Au
0.000 0.000 0.000 Cs
-0.632 3.079 0.145 U
```

Output
Crystal system: cubic
SG: F-43m (216)
VASP energy in eV per atom: -3.676